A.
An optimized crystal structure of TbScGe, computed with GGA-PBE.

Computed properties:
Volume: 140.9 Å³/cell
Space-group type: P4/nmm, No. 129
Size of the total moment: 0.00 μB per cell
Fermi-level density of states: 4.28 states/eV/f.u.

Cell lengths 4.2298, 4.2298, 7.8761 Å; angles 90.00, 90.00, 90.00 degrees
Last column: nearest neighbours and their distance in Å.
Fractional positions:
Tb1 0.2500 0.2500 0.6487  5 Ge 3.08
Tb2 0.7500 0.7500 0.3513  5 Ge 3.08
Ge1 0.7500 0.7500 0.7421  4 Sc 2.93, 5 Tb 3.08
Ge2 0.2500 0.2500 0.2579  4 Sc 2.93, 5 Tb 3.08
Sc1 0.2500 0.7500 0.0000  4 Ge 2.93, 4 Sc 2.99
Sc2 0.7500 0.2500 0.0000  4 Ge 2.93, 4 Sc 2.99

***

B.
An optimized crystal structure of TbScGe, computed with GGA-PBE.

Computed properties:
Volume: 75.7 Å³/cell
Space-group type: F-43m, No. 216
Size of the total moment: 0.00 μB per cell
Fermi-level density of states: 2.93 states/eV/f.u.

Cell lengths 4.7489, 4.7489, 4.7489 Å; angles 60.00, 60.00, 60.00 degrees
Last column: nearest neighbours and their distance in Å.
Fractional positions:
Sc1 0.0000 0.0000 0.0000  4 Ge 2.91
Tb1 0.5000 0.5000 0.5000  4 Ge 2.91
Ge1 0.2500 0.2500 0.2500  4 Tb 2.91, 4 Sc 2.91

***

C.
An optimized crystal structure of TbScGe, computed with GGA-PBE.

Computed properties:
Volume: 140.9 Å³/cell
Space-group type: I4/mmm, No. 139
Size of the total moment: 1.22 μB per cell
Fermi-level density of states: 3.11 states/eV/f.u.

Cell lengths 8.3503, 8.3503, 8.3503 Å; angles 150.49, 150.49, 42.23 degrees
Last column: nearest neighbours and their distance in Å.
Fractional positions:
Tb1 0.6766 0.6766 0.0000  5 Ge 3.04-3.10
Tb2 0.3234 0.3234 0.0000  5 Ge 3.04-3.10
Ge1 0.1282 0.1282 0.0000  4 Sc 2.92, 5 Tb 3.04-3.10
Ge2 0.8718 0.8718 0.0000  4 Sc 2.92, 5 Tb 3.04-3.10
Sc1 0.5000 0.0000 0.5000  4 Ge 2.92, 4 Sc 3.01
Sc2 0.0000 0.5000 0.5000  4 Ge 2.92, 4 Sc 3.01

***

Which is the most stable structure? C is the most stable.

***

A.
An optimized crystal structure of ScTcGe2, computed with GGA-PBE.

Computed properties:
Volume: 66.6 Å³/cell
Space-group type: P4/mmm, No. 123
Size of the total moment: 0.58 μB per cell
Fermi-level density of states: 2.75 states/eV/f.u.

Cell lengths 3.1593, 3.1593, 6.6727 Å; angles 90.00, 90.00, 90.00 degrees
Last column: nearest neighbours and their distance in Å.
Fractional positions:
Sc1 0.5000 0.5000 0.5000  8 Ge 2.95, 4 Sc 3.16
Ge1 0.0000 0.0000 0.2117  4 Tc 2.64, 1 Ge 2.82, 4 Sc 2.95
Ge2 0.0000 0.0000 0.7883  4 Tc 2.64, 1 Ge 2.82, 4 Sc 2.95
Tc1 0.5000 0.5000 0.0000  8 Ge 2.64

***

B.
An optimized crystal structure of ScTcGe2, computed with GGA-PBE.

Computed properties:
Volume: 404.6 Å³/cell
Space-group type: Immm, No. 71
Size of the total moment: 0.00 μB per cell
Fermi-level density of states: 1.65 states/eV/f.u.

Cell lengths 5.3398, 8.3211, 10.3613 Å; angles 113.68, 104.93, 90.00 degrees
Last column: nearest neighbours and their distance in Å.
Fractional positions:
Sc1 0.0927 0.3496 0.1854  8 Ge 2.78-2.99
Sc2 0.9073 0.6504 0.8146  8 Ge 2.78-2.99
Sc3 0.0927 0.8358 0.1854  8 Ge 2.78-2.99
Sc4 0.9073 0.1642 0.8146  8 Ge 2.78-2.99
Sc5 0.6418 0.6418 0.2836  7 Ge 2.86-2.94, 4 Tc 3.16
Sc6 0.3582 0.3582 0.7164  7 Ge 2.86-2.94, 4 Tc 3.16
Tc1 0.0000 0.0000 0.5000  6 Ge 2.61-2.66, 2 Tc 2.67
Tc2 0.5000 0.7495 0.0000  6 Ge 2.51-2.59
Tc3 0.0000 0.5000 0.5000  6 Ge 2.61-2.66, 2 Tc 2.67
Tc4 0.5000 0.5000 0.5000  6 Ge 2.61-2.66, 2 Tc 2.67
Tc5 0.5000 0.2505 0.0000  6 Ge 2.51-2.59
Tc6 0.5000 0.0000 0.5000  6 Ge 2.61-2.66, 2 Tc 2.67
Ge1 0.7635 0.5000 0.0000  2 Tc 2.51, 1 Ge 2.53
Ge2 0.3650 0.7125 0.7300  1 Ge 2.54, 3 Tc 2.59-2.61
Ge3 0.2322 0.0000 0.0000  1 Ge 2.48, 2 Tc 2.53
Ge4 0.7678 0.0000 0.0000  1 Ge 2.48, 2 Tc 2.53
Ge5 0.2365 0.5000 0.0000  2 Tc 2.51, 1 Ge 2.53
Ge6 0.8024 0.3024 0.6047  4 Tc 2.65, 4 Sc 2.78-2.86
Ge7 0.8034 0.8034 0.6068  4 Tc 2.66, 3 Sc 2.85-2.94
Ge8 0.1966 0.1966 0.3932  4 Tc 2.66, 3 Sc 2.85-2.94
Ge9 0.6350 0.9825 0.2700  1 Ge 2.54, 3 Tc 2.59-2.61
Ge10 0.3650 0.0175 0.7300  1 Ge 2.54, 3 Tc 2.59-2.61
Ge11 0.1976 0.6976 0.3953  4 Tc 2.65, 4 Sc 2.78-2.86
Ge12 0.6350 0.2875 0.2700  1 Ge 2.54, 3 Tc 2.59-2.61

***

C.
An optimized crystal structure of ScTcGe2, computed with GGA-PBE.

Computed properties:
Volume: 142.8 Å³/cell
Space-group type: I-42d, No. 122
Size of the total moment: 0.00 μB per cell
Fermi-level density of states: 1.43 states/eV/f.u.

Cell lengths 3.8801, 3.8801, 9.8747 Å; angles 78.67, 78.67, 90.00 degrees
Last column: nearest neighbours and their distance in Å.
Fractional positions:
Tc1 0.7500 0.2500 0.5000  4 Ge 2.73, 4 Sc 2.74
Tc2 0.0000 0.0000 0.0000  4 Ge 2.73, 4 Sc 2.74
Ge1 0.6308 0.1250 0.2500  4 Ge 2.71-2.78, 2 Tc 2.73, 2 Sc 2.75
Ge2 0.1192 0.6250 0.2500  4 Ge 2.71-2.78, 2 Tc 2.73, 2 Sc 2.75
Ge3 0.8750 0.8808 0.7500  4 Ge 2.71-2.78, 2 Tc 2.73, 2 Sc 2.75
Ge4 0.3750 0.3692 0.7500  4 Ge 2.71-2.78, 2 Tc 2.73, 2 Sc 2.75
Sc1 0.5000 0.5000 0.0000  4 Tc 2.74, 4 Ge 2.75
Sc2 0.2500 0.7500 0.5000  4 Tc 2.74, 4 Ge 2.75

***

D.
An optimized crystal structure of ScTcGe2, computed with GGA-PBE.

Computed properties:
Volume: 67.9 Å³/cell
Space-group type: R-3m, No. 166
Size of the total moment: 0.00 μB per cell
Fermi-level density of states: 1.89 states/eV/f.u.

Cell lengths 4.2107, 4.2107, 5.0465 Å; angles 65.34, 65.34, 60.00 degrees
Last column: nearest neighbours and their distance in Å.
Fractional positions:
Ge1 0.2322 0.2322 0.3033  3 Tc 2.58, 3 Sc 2.78
Ge2 0.7678 0.7678 0.6967  3 Tc 2.58, 3 Sc 2.78
Tc1 0.5000 0.5000 0.5000  6 Ge 2.58
Sc1 0.0000 0.0000 0.0000  8 Ge 2.78-3.08

***

Which is the most stable structure? B is the most stable.

***

A.
An optimized crystal structure of Sc2TcGe2, computed with GGA-PBE.

Computed properties:
Volume: 176.0 Å³/cell
Space-group type: P4/mbm, No. 127
Size of the total moment: 0.00 μB per cell
Fermi-level density of states: 2.86 states/eV/f.u.

Cell lengths 6.7055, 6.7055, 3.9148 Å; angles 90.00, 90.00, 90.00 degrees
Last column: nearest neighbours and their distance in Å.
Fractional positions:
Sc1 0.1745 0.6745 0.5000  6 Ge 2.68-2.86
Sc2 0.3255 0.1745 0.5000  6 Ge 2.68-2.86
Sc3 0.8255 0.3255 0.5000  6 Ge 2.68-2.86
Sc4 0.6745 0.8255 0.5000  6 Ge 2.68-2.86
Ge1 0.1330 0.3670 0.0000  1 Ge 2.52, 2 Tc 2.62, 2 Sc 2.68
Ge2 0.3670 0.8670 0.0000  1 Ge 2.52, 2 Tc 2.62, 2 Sc 2.68
Ge3 0.8670 0.6330 0.0000  1 Ge 2.52, 2 Tc 2.62, 2 Sc 2.68
Ge4 0.6330 0.1330 0.0000  1 Ge 2.52, 2 Tc 2.62, 2 Sc 2.68
Tc1 0.0000 0.0000 0.0000  4 Ge 2.62
Tc2 0.5000 0.5000 0.0000  4 Ge 2.62

***

B.
An optimized crystal structure of Sc2TcGe2, computed with GGA-PBE.

Computed properties:
Volume: 90.5 Å³/cell
Space-group type: Immm, No. 71
Size of the total moment: 0.00 μB per cell
Fermi-level density of states: 2.35 states/eV/f.u.

Cell lengths 4.1237, 5.2903, 5.2903 Å; angles 61.63, 67.06, 67.06 degrees
Last column: nearest neighbours and their distance in Å.
Fractional positions:
Ge1 0.5000 0.7313 0.2687  1 Ge 2.51, 2 Tc 2.52
Ge2 0.5000 0.2687 0.7313  1 Ge 2.51, 2 Tc 2.52
Sc1 0.2033 0.2967 0.2967  6 Ge 2.81-2.92
Sc2 0.7967 0.7033 0.7033  6 Ge 2.81-2.92
Tc1 0.0000 0.0000 0.0000  4 Ge 2.52

***

Which is the most stable structure? A is the most stable.